VASP calculation (SCAN) on a PBEsol-optimized structure of InReSb2.

POSCAR file:
```
InReSb2
1.0
-2.669 -0.301 1.814
2.923 0.005 1.405
-1.502 10.025 -0.545
In Re Sb
1 1 2
Cartesian
-1.335 -0.151 0.907
-0.751 5.013 -0.272
-1.651 6.784 1.594
0.402 2.945 1.081
```

Results
symmetry	C2/m, No. 12
raw formation energy	0.3057	eV/atom
crystal system	monoclinic

=====

VASP calculation (SCAN) on a PBEsol-optimized structure of Y2InReSb.

POSCAR file:
```
Y2InReSb
1.0
5.175 0.000 0.000
0.000 5.517 0.000
0.000 0.000 5.517
Y Re In Sb
2 1 1 1
Cartesian
0.000 0.000 2.759
0.000 2.759 0.000
2.588 2.759 2.759
0.000 0.000 0.000
2.588 0.000 0.000
```

Results
symmetry	P4/mmm, No. 123
raw formation energy	1.3784	eV/atom
crystal system	tetragonal

=====

VASP calculation (SCAN) on a PBEsol-optimized structure of ScIn2Re.

POSCAR file:
```
ScIn2Re
1.0
2.910 0.020 0.031
-0.478 5.308 0.018
-0.478 -2.289 4.790
In Re Sc
2 1 1
Cartesian
-0.239 -1.144 2.395
-0.239 2.654 0.009
0.977 1.520 2.419
1.455 0.010 0.016
```

Results
symmetry	C2/m, No. 12
formation enthalpy at 0 K	0.18	eV per atom
crystal system	monoclinic

=====

VASP calculation (SCAN) on a PBEsol-optimized structure of ScInRe3.

POSCAR file:
```
ScInRe3
1.0
4.576 0.000 0.000
0.000 4.576 0.000
0.000 0.000 4.576
Sc Re In
1 3 1
Cartesian
0.000 0.000 0.000
0.000 2.288 0.000
0.000 0.000 2.288
2.288 0.000 0.000
2.288 2.288 2.288
```

Results
symmetry	Pm-3m, No. 221
formation enthalpy at 0 K	2.42	eV per atom
crystal system	cubic

=====

VASP calculation (SCAN) on a PBEsol-optimized structure of ScIn2Re.

POSCAR file:
```
ScIn2Re
1.0
3.548 0.000 0.000
0.000 3.548 0.000
0.000 0.000 6.065
In Re Sc
2 1 1
Cartesian
0.000 0.000 0.008
1.774 1.774 1.616
0.000 0.000 3.101
1.774 1.774 4.372
```

Results
symmetry	P4mm, No. 99
formation enthalpy at 0 K	0.04	eV per atom
crystal system	tetragonal

=====

VASP calculation (SCAN) on a PBEsol-optimized structure of Sc2InRe.

POSCAR file:
```
Sc2InRe
1.0
3.516 0.000 0.000
0.000 4.580 0.000
-1.758 -2.290 4.715
In Re Sc
1 1 2
Cartesian
1.758 2.290 0.167
0.000 2.290 2.360
1.758 2.290 4.520
1.758 0.000 2.383
```

Results
symmetry	Imm2, No. 44
formation enthalpy at 0 K	-0.16	eV per atom
crystal system	orthorhombic

=====

VASP calculation (SCAN) on a PBEsol-optimized structure of Sc2InRe.

POSCAR file:
```
Sc2InRe
1.0
-2.604 2.436 -0.410
0.405 -0.327 -4.512
-3.099 -3.320 -0.038
In Re Sc
1 1 2
Cartesian
-3.240 -0.858 -0.228
-1.487 0.640 -2.466
-0.387 -0.415 -0.005
-1.734 -2.238 -2.280
```

Results
symmetry	P4/mmm, No. 123
formation enthalpy at 0 K	-0.29	eV per atom
crystal system	tetragonal

=====

VASP calculation (SCAN) on a PBEsol-optimized structure of InReSe.

POSCAR file:
```
InReSe
1.0
3.170 0.000 0.000
-1.585 2.746 0.000
0.000 0.000 6.362
In Re Se
1 1 1
Cartesian
0.000 0.000 6.246
0.000 1.830 4.064
1.585 0.915 2.415
```

Results
symmetry	P3m1, No. 156
raw formation energy	0.3088	eV/atom
crystal system	trigonal